Computed, not measured: a geometry-optimized CaMnNi3 structure at the PBE level of DFT.

The value obtained for the energy relative to the lowest polymorph listed for this composition is 1000 meV/atom. The spin magnetization comes out at 1.0016 μB per atom. The value obtained for the total energy is -0.156 Ha/atom.

The space group is Pm-3m (No. 221) and the conventional cell measures 4.506, 4.506 and 4.506 Å, with angles of 90.00, 90.00 and 90.00 degrees. Symmetry generates all atoms from Ca at (0.000, 0.000, 0.000), Mn at (0.500, 0.500, 0.500) and Ni at (0.000, 0.000, 0.500).